# 1
GGA-PBE LaBeTl, relaxed; energy above the lowest structure with this stoichiometry = 0.12 eV/f.u.; DOS(E_F) = 4.41 states/eV per cell; DFT total energy = -11.2 eV per formula unit; crystal system = triclinic; symmetry = P1
1.0
3.9943 0.0000 0.0000
0.0000 4.1707 0.0000
0.1059 2.0845 8.7729
La Be Tl
2 2 2
Cartesian
0.0000 0.0000 0.0000 La
0.0914 2.0748 4.8179 La
0.1428 4.1596 2.8863 Be
2.1282 4.1630 3.5642 Be
2.0328 2.0775 1.9814 Tl
2.0957 4.1619 6.7306 Tl

=====

# 2
GGA-PBE LaBeTl, relaxed; energy above the lowest structure with this stoichiometry = 0.34 eV/f.u.; DOS(E_F) = 5.61 states/eV per cell; DFT total energy = -11.0 eV per formula unit; crystal system = monoclinic; symmetry = Cm
1.0
5.4973 -2.1189 0.0000
5.4973 2.1189 0.0000
-0.0016 0.0000 6.1700
La Be Tl
2 2 2
Cartesian
0.0000 0.0000 0.0000 La
6.5233 0.0000 3.0858 La
7.7161 0.0000 6.1696 Be
9.8038 0.0000 3.0761 Be
3.2602 0.0000 1.5426 Tl
3.2607 0.0000 4.6274 Tl

=====

# 3
GGA-PBE LaBeTl, relaxed; energy above the lowest structure with this stoichiometry = 0.27 eV/f.u.; DOS(E_F) = 4.86 states/eV per cell; DFT total energy = -11.1 eV per formula unit; crystal system = monoclinic; symmetry = Cm
1.0
6.4107 -1.9985 0.0000
6.4107 1.9985 0.0000
-2.9403 0.0000 6.0394
La Be Tl
2 2 2
Cartesian
0.0000 0.0000 0.0000 La
6.5443 0.0000 3.4324 La
2.0221 0.0000 2.0821 Be
8.3729 0.0000 1.1209 Be
3.6476 0.0000 0.1065 Tl
10.3276 0.0000 2.7577 Tl

=====

# 4
GGA-PBE La3BeTl, relaxed; energy above the lowest structure with this stoichiometry = 0.00 eV/f.u.; DOS(E_F) = 8.58 states/eV per cell; DFT total energy = -20.3 eV per formula unit; crystal system = cubic; symmetry = Pm-3m
1.0
5.4500 0.0000 0.0000
0.0000 5.4500 0.0000
0.0000 0.0000 5.4500
La Be Tl
3 1 1
Cartesian
0.0000 0.0000 2.7250 La
0.0000 2.7250 0.0000 La
2.7250 0.0000 0.0000 La
0.0000 0.0000 0.0000 Be
2.7250 2.7250 2.7250 Tl

=====

# 5
GGA-PBE LaBeTl, relaxed; energy above the lowest structure with this stoichiometry = 0.36 eV/f.u.; DOS(E_F) = 5.04 states/eV per cell; DFT total energy = -11.0 eV per formula unit; crystal system = monoclinic; symmetry = P2/m
1.0
5.5211 0.0000 0.0000
0.0000 4.2868 0.0000
-2.5002 0.0000 6.4641
La Be Tl
2 2 2
Cartesian
0.0000 0.0000 0.0000 La
1.5105 2.1434 3.2321 La
-1.3482 2.1434 4.5244 Be
4.3691 2.1434 1.9397 Be
-1.2501 0.0000 3.2321 Tl
2.7606 2.1434 0.0000 Tl

=====

# 6
GGA-PBE LaBeTl, relaxed; energy above the lowest structure with this stoichiometry = 0.60 eV/f.u.; DOS(E_F) = 8.12 states/eV per cell; DFT total energy = -10.7 eV per formula unit; crystal system = orthorhombic; symmetry = Pnma
1.0
6.1462 0.0000 0.0000
0.0000 4.2324 0.0000
0.0000 0.0000 11.8765
La Be Tl
4 4 4
Cartesian
0.9485 1.0581 1.8684 La
2.1247 3.1743 7.8067 La
4.0216 1.0581 4.0698 La
5.1978 3.1743 10.0081 La
0.3314 3.1743 4.1575 Be
2.7417 1.0581 10.0957 Be
3.4045 3.1743 1.7808 Be
5.8148 1.0581 7.7191 Be
1.0898 1.0581 5.4137 Tl
1.9833 3.1743 11.3520 Tl
4.1629 1.0581 0.5245 Tl
5.0564 3.1743 6.4628 Tl

=====

# 7
GGA-PBE LaBe2Tl2, relaxed; DOS(E_F) = 2.00 states/eV per cell; DFT total energy = -16.9 eV per formula unit; crystal system = tetragonal; symmetry = I4/mmm
1.0
-2.2080 2.2080 5.3868
2.2080 -2.2080 5.3868
2.2080 2.2080 -5.3868
La Be Tl
1 2 2
Cartesian
0.0000 0.0000 0.0000 La
2.2080 0.0000 2.6934 Be
0.0000 2.2080 2.6934 Be
0.0000 0.0000 3.9152 Tl
0.0000 0.0000 6.8584 Tl

=====

# 8
GGA-PBE LaBeTl, relaxed; energy above the lowest structure with this stoichiometry = 0.60 eV/f.u.; DOS(E_F) = 4.63 states/eV per cell; DFT total energy = -10.7 eV per formula unit; crystal system = tetragonal; symmetry = P4/nmm
1.0
4.4694 0.0000 0.0000
0.0000 4.4694 0.0000
0.0000 0.0000 7.4591
La Be Tl
2 2 2
Cartesian
1.1173 1.1173 1.2011 La
3.3520 3.3520 6.2580 La
1.1173 1.1173 5.4190 Be
3.3520 3.3520 2.0401 Be
1.1173 3.3520 3.7295 Tl
3.3520 1.1173 3.7295 Tl

=====

# 9
GGA-PBE LaBeTl, relaxed; energy above the lowest structure with this stoichiometry = 1.27 eV/f.u.; DOS(E_F) = 2.34 states/eV per cell; DFT total energy = -10.1 eV per formula unit; crystal system = orthorhombic; symmetry = Imm2
1.0
-1.8750 2.3662 4.4448
1.8750 -2.3662 4.4448
1.8750 2.3662 -4.4448
La Be Tl
1 1 1
Cartesian
0.0000 0.0000 0.0000 La
0.0000 0.0000 3.1515 Be
0.0000 0.0000 5.8312 Tl

=====

# 10
GGA-PBE LaBeTl, relaxed; energy above the lowest structure with this stoichiometry = 0.09 eV/f.u.; DOS(E_F) = 4.73 states/eV per cell; DFT total energy = -11.2 eV per formula unit; crystal system = tetragonal; symmetry = I4_1md
1.0
-2.1942 2.1942 7.7289
2.1942 -2.1942 7.7289
2.1942 2.1942 -7.7289
La Be Tl
2 2 2
Cartesian
0.0000 0.0000 0.0000 La
0.0000 2.1942 3.8644 La
2.1942 0.0000 2.5957 Be
0.0000 0.0000 6.4602 Be
2.1942 0.0000 5.1750 Tl
0.0000 0.0000 9.0394 Tl

=====

# 11
GGA-PBE LaBeTl, relaxed; energy above the lowest structure with this stoichiometry = 0.17 eV/f.u.; DOS(E_F) = 7.96 states/eV per cell; DFT total energy = -11.2 eV per formula unit; crystal system = orthorhombic; symmetry = Pmmm
1.0
4.2517 0.0000 0.0000
0.0000 4.5002 0.0000
0.0000 0.0000 7.8998
La Be Tl
2 2 2
Cartesian
0.0000 0.0000 0.0000 La
2.1258 0.0000 3.9499 La
0.0000 2.2501 2.8671 Be
0.0000 2.2501 5.0328 Be
2.1258 2.2501 1.5035 Tl
2.1258 2.2501 6.3963 Tl

=====

# 12
GGA-PBE LaBeTl, relaxed; energy above the lowest structure with this stoichiometry = 0.44 eV/f.u.; DOS(E_F) = 1.37 states/eV per cell; DFT total energy = -10.9 eV per formula unit; crystal system = orthorhombic; symmetry = Cmcm
1.0
2.5346 -4.3792 0.0000
2.5346 4.3792 0.0000
0.0000 0.0000 6.5555
La Be Tl
2 2 2
Cartesian
2.5346 2.9231 4.9166 La
2.5346 -2.9231 1.6389 La
2.5346 2.9124 1.6389 Be
2.5346 -2.9124 4.9166 Be
2.5346 0.0000 0.0000 Tl
2.5346 0.0000 3.2777 Tl

=====

# 13
GGA-PBE LaBeTl, relaxed; energy above the lowest structure with this stoichiometry = 0.00 eV/f.u.; DOS(E_F) = 5.38 states/eV per cell; DFT total energy = -11.3 eV per formula unit; crystal system = triclinic; symmetry = P-1
1.0
4.2217 0.0000 0.0000
-2.1047 5.7777 0.0000
-2.1049 -1.1750 5.8526
La Be Tl
2 2 2
Cartesian
0.0036 1.5719 1.0261 La
0.0085 3.0309 4.8265 La
-2.1059 3.3590 2.5416 Be
2.1180 1.2438 3.3111 Be
0.0049 -0.1731 4.1091 Tl
0.0072 4.7758 1.7436 Tl

=====

# 14
GGA-PBE LaBeTl, relaxed; energy above the lowest structure with this stoichiometry = 0.70 eV/f.u.; DOS(E_F) = 1.28 states/eV per cell; DFT total energy = -10.6 eV per formula unit; crystal system = tetragonal; symmetry = I4mm
1.0
-1.7048 1.7048 6.0751
1.7048 -1.7048 6.0751
1.7048 1.7048 -6.0751
La Be Tl
1 1 1
Cartesian
0.0000 0.0000 0.0000 La
0.0000 0.0000 4.1054 Be
0.0000 0.0000 8.6573 Tl

=====

# 15
GGA-PBE LaBeTl, relaxed; energy above the lowest structure with this stoichiometry = 0.17 eV/f.u.; DOS(E_F) = 1.89 states/eV per cell; DFT total energy = -11.2 eV per formula unit; crystal system = monoclinic; symmetry = C2/m
1.0
4.0600 -2.3423 0.0000
4.0600 2.3423 0.0000
-2.7028 0.0000 7.9706
La Be Tl
2 2 2
Cartesian
0.0000 0.0000 0.0000 La
2.7086 0.0000 3.9853 La
0.0018 0.0000 2.9300 Be
5.4155 0.0000 5.0406 Be
-0.0010 0.0000 5.9058 Tl
5.4183 0.0000 2.0648 Tl

=====

# 16
GGA-PBE LaTm3Be, relaxed; DOS(E_F) = 5.38 states/eV per cell; DFT total energy = -21.1 eV per formula unit; crystal system = cubic; symmetry = Pm-3m
1.0
5.2696 0.0000 0.0000
0.0000 5.2696 0.0000
0.0000 0.0000 5.2696
La Tm Be
1 3 1
Cartesian
0.0000 0.0000 0.0000 La
0.0000 2.6348 2.6348 Tm
2.6348 0.0000 2.6348 Tm
2.6348 2.6348 0.0000 Tm
2.6348 2.6348 2.6348 Be

=====

# 17
GGA-PBE LaBeV3, relaxed; energy above the lowest structure with this stoichiometry = 5.77 eV/f.u.; DOS(E_F) = 3.80 states/eV per cell; DFT total energy = -26.5 eV per formula unit; crystal system = cubic; symmetry = Pm-3m
1.0
4.5054 0.0000 0.0000
0.0000 4.5054 0.0000
0.0000 0.0000 4.5054
La Be V
1 1 3
Cartesian
0.0000 0.0000 0.0000 La
2.2527 2.2527 2.2527 Be
0.0000 0.0000 2.2527 V
0.0000 2.2527 0.0000 V
2.2527 0.0000 0.0000 V

=====

# 18
GGA-PBE LaBeV2, relaxed; DOS(E_F) = 9.63 states/eV per cell; DFT total energy = -24.2 eV per formula unit; crystal system = tetragonal; symmetry = I4_1/amd
1.0
-2.1412 2.1412 9.0246
2.1412 -2.1412 9.0246
2.1412 2.1412 -9.0246
La Be V
2 2 4
Cartesian
2.1412 1.0706 2.2561 La
0.0000 1.0706 6.7684 La
2.1412 -1.0706 6.7684 Be
0.0000 3.2118 2.2561 Be
0.0000 0.0000 0.0000 V
1.0706 1.0706 -4.5123 V
1.0706 -1.0706 4.5123 V
0.0000 2.1412 0.0000 V

=====

# 19
GGA-PBE LaBeV3, relaxed; energy above the lowest structure with this stoichiometry = 0.00 eV/f.u.; DOS(E_F) = 9.28 states/eV per cell; DFT total energy = -32.3 eV per formula unit; crystal system = cubic; symmetry = Pm-3m
1.0
4.4601 0.0000 0.0000
0.0000 4.4601 0.0000
0.0000 0.0000 4.4601
La Be V
1 1 3
Cartesian
0.0000 0.0000 0.0000 La
2.2301 2.2301 2.2301 Be
0.0000 2.2301 2.2301 V
2.2301 0.0000 2.2301 V
2.2301 2.2301 0.0000 V

=====

# 20
GGA-PBE La3BeV, relaxed; energy above the lowest structure with this stoichiometry = 0.00 eV/f.u.; DOS(E_F) = 8.62 states/eV per cell; DFT total energy = -24.2 eV per formula unit; crystal system = cubic; symmetry = Pm-3m
1.0
5.3303 0.0000 0.0000
0.0000 5.3303 0.0000
0.0000 0.0000 5.3303
La Be V
3 1 1
Cartesian
0.0000 0.0000 2.6651 La
0.0000 2.6651 0.0000 La
2.6651 0.0000 0.0000 La
2.6651 2.6651 2.6651 Be
0.0000 0.0000 0.0000 V